# Rb3Nb6SBr17

An optimized crystal structure of Rb3Nb6SBr17 (GGA-PBE, the Alexandria database).

Computed properties:
ΔE_f (raw)	-1138.1	meV/atom
uncorrected energy	-4.6895	eV per atom

Cell: 13.2924 13.2924 9.5511 Å, 88.52 88.52 93.78°
Closest atoms and distances in Å follow each position.
Fractional positions:
Br1 0.8974 0.3472 0.9690  2 Nb 2.69
Br2 0.5145 0.0681 0.1897  2 Nb 2.62
Br3 0.1258 0.9880 0.6079  2 Nb 2.70-2.71
Br4 0.8742 0.0120 0.3921  2 Nb 2.70-2.71
Br5 0.6426 0.8610 0.3448  1 Nb 2.73
Br6 0.4855 0.9319 0.8103  2 Nb 2.62
Br7 0.4364 0.3106 0.0661  1 Nb 2.76
Br8 0.5636 0.6894 0.9339  1 Nb 2.76
Br9 0.6894 0.5636 0.4339  1 Nb 2.76
Br10 0.6873 0.4365 0.1013  2 Nb 2.72
Br11 0.6411 0.2023 0.8821  2 Nb 2.60-2.62
Br12 0.1186 0.8814 0.2500  2 Nb 2.85
Br13 0.8814 0.1186 0.7500  2 Nb 2.85
Br14 0.7977 0.3589 0.6179  2 Nb 2.60-2.62
Br15 0.6528 0.1026 0.5310  2 Nb 2.69
Br16 0.1390 0.3574 0.1552  1 Nb 2.73
Br17 0.8610 0.6426 0.8448  1 Nb 2.73
Br18 0.5635 0.3127 0.3987  2 Nb 2.72
Br19 0.2023 0.6411 0.3821  2 Nb 2.60-2.62
Br20 0.3106 0.4364 0.5661  1 Nb 2.76
Br21 0.4365 0.6873 0.6013  2 Nb 2.72
Br22 0.2538 0.0286 0.9726  2 Nb 2.62-2.64
Br23 0.9319 0.4855 0.3103  2 Nb 2.62
Br24 0.9880 0.1258 0.1079  2 Nb 2.70-2.71
Br25 0.7462 0.9714 0.0274  2 Nb 2.62-2.64
Br26 0.3472 0.8974 0.4690  2 Nb 2.69
Br27 0.1026 0.6528 0.0310  2 Nb 2.69
Br28 0.3127 0.5635 0.8987  2 Nb 2.72
Br29 0.0120 0.8742 0.8921  2 Nb 2.70-2.71
Br30 0.0286 0.2538 0.4726  2 Nb 2.62-2.64
Br31 0.3574 0.1390 0.6552  1 Nb 2.73
Br32 0.0681 0.5145 0.6897  2 Nb 2.62
Br33 0.9714 0.7462 0.5274  2 Nb 2.62-2.64
Br34 0.3589 0.7977 0.1179  2 Nb 2.60-2.62
S1 0.2229 0.7771 0.7500  6 Nb 2.38-2.39
S2 0.7771 0.2229 0.2500  6 Nb 2.38-2.39
Nb1 0.7008 0.0552 0.2667  1 S 2.39, 2 Br 2.62-2.64
Nb2 0.2992 0.9448 0.7333  1 S 2.39, 2 Br 2.62-2.64
Nb3 0.2410 0.6181 0.6459  1 S 2.38, 2 Br 2.60-2.62
Nb4 0.6181 0.2410 0.1459  1 S 2.38, 2 Br 2.60-2.62
Nb5 0.3819 0.7590 0.8541  1 S 2.38, 2 Br 2.60-2.62
Nb6 0.9448 0.2992 0.2333  1 S 2.39, 2 Br 2.62-2.64
Nb7 0.1969 0.8356 0.9806  1 S 2.38, 2 Br 2.62
Nb8 0.1644 0.8031 0.5194  1 S 2.38, 2 Br 2.62
Nb9 0.8031 0.1644 0.0194  1 S 2.38, 2 Br 2.62
Nb10 0.7590 0.3819 0.3541  1 S 2.38, 2 Br 2.60-2.62
Nb11 0.0552 0.7008 0.7667  1 S 2.39, 2 Br 2.62-2.64
Nb12 0.8356 0.1969 0.4806  1 S 2.38, 2 Br 2.62
Rb1 0.1640 0.2716 0.8212  6 Br 3.43-3.83
Rb2 0.5421 0.4579 0.7500  10 Br 3.58-3.93
Rb3 0.4579 0.5421 0.2500  10 Br 3.58-3.93
Rb4 0.2716 0.1640 0.3212  6 Br 3.43-3.83
Rb5 0.8360 0.7284 0.1788  6 Br 3.43-3.83
Rb6 0.7284 0.8360 0.6788  6 Br 3.43-3.83